[1]
VASP calculation (PBE with a Hubbard U) on crystalline LiVBO4 at its relaxed geometry.

## Properties
Its total energy is -7.2763 eV/atom. The calculation puts the total magnetic moment at 4.00 Bohr magnetons per cell. Its density of states at the Fermi level is 0.00 states/eV per cell.

The structure in extended XYZ format:
```
28
Lattice="8.157 0.000 0.000 0.000 4.851 0.000 -2.315 0.000 8.005" Properties=species:S:1:pos:R:3 pbc="T T T"
Li -1.286 4.015 7.912
Li 0.778 1.513 3.950
Li 2.793 0.836 7.912
Li 4.857 3.338 3.950
V 7.399 3.289 1.946
V 1.255 3.960 5.932
V 3.321 1.562 1.946
V 5.334 0.891 5.932
B 0.004 1.514 6.950
B 1.966 3.912 2.924
B 4.082 3.337 6.950
B 6.044 0.939 2.924
O -1.366 0.953 7.010
O 7.325 1.664 2.789
O -0.048 2.972 6.769
O 0.783 0.890 5.836
O 1.073 3.510 1.809
O 1.266 3.486 4.182
O 2.713 3.899 7.010
O 2.187 0.514 2.935
O 3.017 1.146 0.206
O 3.246 3.187 2.788
O 4.030 1.880 6.769
O 4.861 3.962 5.836
O 5.152 1.341 1.809
O 5.344 1.365 4.182
O 6.266 4.337 2.935
O 7.096 3.705 0.206
```

***

[2]
VASP calculation (PBE with a Hubbard U) on crystalline CrNiWO6 at its relaxed geometry.

## Properties
Its total energy is -6.8169 eV/atom. The calculation puts the total magnetic moment at 8.00 Bohr magnetons per cell. Its density of states at the Fermi level is 0.01 states/eV per cell.

The structure in extended XYZ format:
```
18
Lattice="-0.414 -3.983 3.066 3.373 -0.043 -3.748 6.132 3.581 5.478" Properties=species:S:1:pos:R:3 pbc="T T T"
Cr 3.644 -0.461 -0.107
Cr 5.448 0.016 4.903
Ni 0.000 0.000 0.000
Ni 3.066 1.790 2.739
W 2.382 -1.774 2.164
W 6.710 1.329 2.632
O 2.738 -2.138 0.281
O 1.998 0.456 -0.585
O 3.738 0.868 4.539
O 7.095 -0.901 5.381
O 3.291 -0.094 1.769
O 4.445 1.283 -0.422
O 5.053 0.516 6.740
O 5.354 -1.313 0.257
O 4.648 -1.728 5.217
O 4.040 -0.961 -1.944
O 5.801 -0.351 3.026
O 6.354 1.693 4.515
```

***

Q: Look up the total magnetic moment of the first one.
A: 4.00 Bohr magnetons per cell